[1]
Compound: Ce3ZnGa
Source: Alexandria
Functional: PBE
Structure: relaxed

Unit cell a=18.8632 b=4.4262 c=6.0766 alpha=90.00 beta=107.88 gamma=90.00
Last column: nearest neighbours and their distance in Å.
Space group C2/m (No. 12)
Symmetry-distinct sites (fractional):
Ce: 0.0283 0.0000 0.2327 (multiplicity 4)  3 Ce 2.70-2.84
Ce: 0.1187 0.5000 0.1995 (multiplicity 4)  2 Ce 2.84, 3 Zn 3.05-3.18, 1 Ga 3.12
Ce: 0.1818 0.0000 0.8212 (multiplicity 4)  2 Ga 3.03, 4 Zn 3.15-3.18
Zn: 0.2337 0.0000 0.3712 (multiplicity 4)  2 Zn 2.67
Ga: 0.0691 0.5000 0.6450 (multiplicity 4)  1 Ga 2.66

Summary:
Electronic total energy: -4.6976 eV/atom
Energy above the lowest structure with this stoichiometry: 0 meV/atom
N(E_F): 12.08 states/eV/f.u.
Calculated density: 7.6 Mg/m³
Formation energy: -277.1 meV per atom
Total magnetic moment: 6.80 μB/cell


[2]
Compound: CeZn6Ga2
Source: Alexandria
Functional: PBE
Structure: relaxed

Unit cell a=4.1504 b=4.1504 c=9.0072 alpha=90.00 beta=90.00 gamma=90.00
Last column: nearest neighbours and their distance in Å.
Space group P4/mmm (No. 123)
Symmetry-distinct sites (fractional):
Ce: 0.0000 0.0000 0.0000 (multiplicity 1)  8 Ga 3.19, 8 Zn 3.43
Zn: 0.0000 0.0000 0.5000 (multiplicity 1)  12 Zn 2.73-2.93
Zn: 0.0000 0.5000 0.3036 (multiplicity 4)  2 Ga 2.55, 4 Zn 2.73
Zn: 0.5000 0.5000 0.5000 (multiplicity 1)  12 Zn 2.73-2.93
Ga: 0.5000 0.5000 0.1384 (multiplicity 2)  1 Ga 2.49, 4 Zn 2.55

Summary:
Electronic total energy: -2.3990 eV/atom
N(E_F): 5.90 states/eV/f.u.
Calculated density: 7.2 Mg/m³
Formation energy: -217.8 meV per atom
Total magnetic moment: 0.83 μB/cell


[3]
Compound: Ce2ZnGa2
Source: Alexandria
Functional: PBE
Structure: relaxed

Unit cell a=10.5713 b=4.5059 c=10.1042 alpha=90.00 beta=113.11 gamma=90.00
Last column: nearest neighbours and their distance in Å.
Space group C2/m (No. 12)
Symmetry-distinct sites (fractional):
Ce: 0.0494 0.0000 0.3464 (multiplicity 4)  7 Ga 3.05-3.26, 4 Zn 3.10-3.17
Ce: 0.1934 0.0000 0.0692 (multiplicity 4)  6 Ga 3.07-3.32, 2 Ce 3.13, 2 Zn 3.34
Zn: 0.2435 0.5000 0.3293 (multiplicity 4)  3 Ga 2.56-2.59
Ga: 0.0019 0.5000 0.1291 (multiplicity 4)  1 Zn 2.56, 1 Ga 2.59
Ga: 0.1338 0.5000 0.5764 (multiplicity 4)  2 Zn 2.59, 1 Ga 2.64

Summary:
Electronic total energy: -4.2985 eV/atom
N(E_F): 9.25 states/eV/f.u.
Calculated density: 7.3 Mg/m³
Formation energy: -459.4 meV per atom
Total magnetic moment: 5.56 μB/cell